Record 1
## SrTl2Pt (GGA-PBEsol)

Data for SrTl2Pt after structural relaxation.

Properties
E_tot	-60.76	eV per cell
space-group type	Fm-3m

a = 7.160 Å, b = 7.160 Å, c = 7.160 Å
α = 90.00°, β = 90.00°, γ = 90.00°
Sites, in units of the cell vectors:
Sr: 0.000 0.000 0.000
Sr: 0.000 0.500 0.500
Sr: 0.500 0.000 0.500
Sr: 0.500 0.500 0.000
Tl: 0.250 0.250 0.250
Tl: 0.250 0.250 0.750
Tl: 0.250 0.750 0.250
Tl: 0.250 0.750 0.750
Tl: 0.750 0.250 0.250
Tl: 0.750 0.250 0.750
Tl: 0.750 0.750 0.250
Tl: 0.750 0.750 0.750
Pt: 0.000 0.000 0.500
Pt: 0.000 0.500 0.000
Pt: 0.500 0.000 0.000
Pt: 0.500 0.500 0.500

Record 2
## SrTl3Pt (GGA-PBEsol)

Data for SrTl3Pt after structural relaxation.

Properties
E_tot	-17.19	eV per cell
space-group type	Pm-3m

a = 5.304 Å, b = 5.304 Å, c = 5.304 Å
α = 90.00°, β = 90.00°, γ = 90.00°
Sites, in units of the cell vectors:
Sr: 0.000 0.000 0.000
Tl: 0.000 0.500 0.500
Tl: 0.500 0.000 0.500
Tl: 0.500 0.500 0.000
Pt: 0.500 0.500 0.500